Entry 1:
CaGaBr6: relaxed, GGA-PBE.

Unit cell a=6.8721 b=6.8768 c=7.1876 alpha=61.46 beta=89.83 gamma=60.07
Closest atoms and distances in Å follow each position.
Space group P-1 (No. 2)
Unique sites:
Ca (0.0000, 0.0000, 0.0000)  6 Br 2.95
Ga (0.5000, 0.0000, 0.5000)  6 Br 2.56-2.57
Br (0.1005, 0.4563, 0.2609)  1 Ga 2.57
Br (0.2822, 0.8162, 0.7382)  1 Ga 2.56
Br (0.4445, 0.8400, 0.2585)  1 Ga 2.57

Values from the calculation:
energy relative to the elements, uncorrected = -0.95 eV/atom
energy = -2.84 eV per atom

---

Entry 2:
CaGa2Br: relaxed, GGA-PBE.

Unit cell a=7.5377 b=7.5377 c=7.5377 alpha=90.00 beta=90.00 gamma=90.00
Closest atoms and distances in Å follow each position.
Space group Fm-3m (No. 225)
Unique sites:
Ca (0.0000, 0.0000, 0.0000)  8 Ga 3.26
Ga (0.2500, 0.2500, 0.2500)  4 Br 3.26, 4 Ca 3.26
Br (0.0000, 0.0000, 0.5000)  8 Ga 3.26

Values from the calculation:
offset from the most stable computed form = 22.1 kJ per mole of atoms
energy relative to the elements, uncorrected = -0.06 eV/atom
energy = -2.49 eV per atom

---

Entry 3:
Ca2GaBr: relaxed, GGA-PBE.

Unit cell a=7.6476 b=7.6476 c=7.6476 alpha=90.00 beta=90.00 gamma=90.00
Closest atoms and distances in Å follow each position.
Space group Fm-3m (No. 225)
Unique sites:
Ca (0.2500, 0.2500, 0.2500)  4 Br 3.31, 4 Ga 3.31
Ga (0.0000, 0.0000, 0.0000)  8 Ca 3.31
Br (0.0000, 0.0000, 0.5000)  8 Ca 3.31

Values from the calculation:
offset from the most stable computed form = 32.1 kJ per mole of atoms
energy relative to the elements, uncorrected = -0.59 eV/atom
energy = -2.76 eV per atom

---

Entry 4:
CaGa2Br6: relaxed, GGA-PBE.

Unit cell a=13.5501 b=12.8677 c=8.7405 alpha=90.00 beta=112.72 gamma=90.00
Closest atoms and distances in Å follow each position.
Space group C2/c (No. 15)
Unique sites:
Ca (0.0000, 0.0762, 0.2500)  6 Br 2.87-3.05
Ga (0.1849, 0.4057, 0.2454)  4 Br 2.54-2.64
Br (0.1040, 0.0929, 0.6274)  1 Ga 2.64
Br (0.1438, 0.4961, 0.9672)  2 Ga 2.55-2.56
Br (0.1627, 0.2096, 0.2239)  1 Ga 2.54

Values from the calculation:
offset from the most stable computed form = 6.7 kJ per mole of atoms
energy relative to the elements, uncorrected = -1.06 eV/atom
energy = -3.07 eV per atom

---

Entry 5:
CaGa2Br4: relaxed, GGA-PBE.

Unit cell a=4.2868 b=8.1454 c=8.4361 alpha=118.35 beta=104.64 gamma=90.08
Closest atoms and distances in Å follow each position.
Space group P-1 (No. 2)
Unique sites:
Ca (0.0000, 0.0000, 0.0000)  6 Br 2.93-2.94
Ga (0.2803, 0.3022, 0.5613)  3 Br 2.98-3.03
Br (0.1274, 0.4092, 0.2542)  1 Ca 2.94, 3 Ga 2.98-3.03
Br (0.3837, 0.0202, 0.7661)  2 Ca 2.93

Values from the calculation:
offset from the most stable computed form = 0.0 kJ per mole of atoms
energy relative to the elements, uncorrected = -1.16 eV/atom
energy = -3.26 eV per atom

---

Entry 6:
Ca2Ga2Br: relaxed, GGA-PBE.

Unit cell a=8.5806 b=8.5806 c=3.8477 alpha=90.00 beta=90.00 gamma=90.00
Closest atoms and distances in Å follow each position.
Space group P4/mbm (No. 127)
Unique sites:
Ca (0.1965, 0.3035, 0.0000)  2 Br 3.10, 6 Ga 3.13-3.29
Ga (0.0998, 0.5998, 0.5000)  1 Ga 2.42
Br (0.0000, 0.0000, 0.0000)  4 Ca 3.10

Values from the calculation:
energy relative to the elements, uncorrected = -0.65 eV/atom
energy = -2.99 eV per atom

---

Entry 7:
CaGaBr2: relaxed, GGA-PBE.

Unit cell a=8.3922 b=8.3922 c=7.3036 alpha=90.00 beta=90.00 gamma=90.00
Closest atoms and distances in Å follow each position.
Space group I-42d (No. 122)
Unique sites:
Ca (0.0000, 0.0000, 0.0000)  4 Br 2.88
Ga (0.0000, 0.0000, 0.5000)  4 Br 3.35, 2 Ca 3.65
Br (0.2087, 0.2500, 0.1250)  2 Ca 2.88

Values from the calculation:
offset from the most stable computed form = 15.7 kJ per mole of atoms
energy relative to the elements, uncorrected = -0.99 eV/atom
energy = -3.08 eV per atom

---

Entry 8:
Ca3GaBr: relaxed, GGA-PBE.

Unit cell a=5.7712 b=5.7712 c=5.7712 alpha=90.00 beta=90.00 gamma=90.00
Closest atoms and distances in Å follow each position.
Space group Pm-3m (No. 221)
Unique sites:
Ca (0.0000, 0.0000, 0.5000)  2 Ga 2.89
Ga (0.0000, 0.0000, 0.0000)  6 Ca 2.89
Br (0.5000, 0.5000, 0.5000)  12 Ca 4.08

Values from the calculation:
offset from the most stable computed form = 0.0 kJ per mole of atoms
energy relative to the elements, uncorrected = -0.48 eV/atom
energy = -2.62 eV per atom

---

Q: energy of number 3 (Ca2GaBr)?
A: -2.76 eV per atom